# Mn3O2F4 (GGA-PBEsol, optimized geometry)
# Polymorph energy (0 for the lowest one) = 51 meV per atom
# Symmetry = Cmmm (65)
# E_tot = -130.60 eV per cell
# DOS(E_F) = 0.2328 states/eV per atom
data_Mn3O2F4
_space_group_name_H-M_alt 'P 1'
_space_group_IT_number 1
_cell_length_a 3.069
_cell_length_b 6.648
_cell_length_c 10.587
_cell_angle_alpha 108.30
_cell_angle_beta 90.00
_cell_angle_gamma 90.00
loop_
_space_group_symop_operation_xyz
'x,y,z'
loop_
_atom_site_label
_atom_site_fract_x
_atom_site_fract_y
_atom_site_fract_z
_atom_site_occupancy
Mn1 0.000 0.324 0.647 1
Mn2 0.500 0.171 0.342 1
Mn3 0.500 0.829 0.658 1
Mn4 0.000 0.000 0.000 1
Mn5 0.000 0.676 0.353 1
Mn6 0.500 0.500 0.000 1
O1 0.500 0.265 0.530 1
O2 0.000 0.307 0.000 1
O3 0.500 0.735 0.470 1
O4 0.000 0.693 0.000 1
F1 0.000 0.032 0.671 1
F2 0.000 0.968 0.329 1
F3 0.000 0.639 0.671 1
F4 0.500 0.070 0.140 1
F5 0.500 0.610 0.220 1
F6 0.500 0.930 0.860 1
F7 0.000 0.361 0.329 1
F8 0.500 0.390 0.780 1

---

# Be2PCl (GGA-PBEsol, optimized geometry)
# Polymorph energy (0 for the lowest one) = 0 meV per atom
# Symmetry = I-42d (122)
# E_tot = -35.65 eV per cell
# DOS(E_F) = 0.0000 states/eV per atom
data_Be2PCl
_space_group_name_H-M_alt 'P 1'
_space_group_IT_number 1
_cell_length_a 4.967
_cell_length_b 4.967
_cell_length_c 6.160
_cell_angle_alpha 113.78
_cell_angle_beta 113.78
_cell_angle_gamma 90.00
loop_
_space_group_symop_operation_xyz
'x,y,z'
loop_
_atom_site_label
_atom_site_fract_x
_atom_site_fract_y
_atom_site_fract_z
_atom_site_occupancy
P1 0.750 0.250 0.500 1
P2 0.500 0.500 0.000 1
Cl1 0.250 0.750 0.500 1
Cl2 0.000 0.000 0.000 1
Be1 0.407 0.875 0.250 1
Be2 0.843 0.375 0.250 1
Be3 0.125 0.157 0.750 1
Be4 0.625 0.593 0.750 1

---

# Fe3IrI (GGA-PBEsol, optimized geometry)
# Symmetry = Pm-3m (221)
# E_tot = -32.18 eV per cell
# DOS(E_F) = 1.2853 states/eV per atom
data_Fe3IrI
_space_group_name_H-M_alt 'P 1'
_space_group_IT_number 1
_cell_length_a 4.678
_cell_length_b 4.678
_cell_length_c 4.678
_cell_angle_alpha 90.00
_cell_angle_beta 90.00
_cell_angle_gamma 90.00
loop_
_space_group_symop_operation_xyz
'x,y,z'
loop_
_atom_site_label
_atom_site_fract_x
_atom_site_fract_y
_atom_site_fract_z
_atom_site_occupancy
I1 0.500 0.500 0.500 1
Ir1 0.000 0.000 0.000 1
Fe1 0.000 0.500 0.000 1
Fe2 0.000 0.000 0.500 1
Fe3 0.500 0.000 0.000 1

---

# Zr5In (GGA-PBEsol, optimized geometry)
# Symmetry = Cmmm (65)
# E_tot = -49.43 eV per cell
# DOS(E_F) = 1.1236 states/eV per atom
# ΔE_f = -0.17 eV/atom
data_Zr5In
_space_group_name_H-M_alt 'P 1'
_space_group_IT_number 1
_cell_length_a 4.374
_cell_length_b 4.393
_cell_length_c 7.135
_cell_angle_alpha 72.07
_cell_angle_beta 90.00
_cell_angle_gamma 90.00
loop_
_space_group_symop_operation_xyz
'x,y,z'
loop_
_atom_site_label
_atom_site_fract_x
_atom_site_fract_y
_atom_site_fract_z
_atom_site_occupancy
Zr1 0.500 0.335 0.331 1
Zr2 0.000 0.166 0.669 1
Zr3 0.500 0.000 0.000 1
Zr4 0.000 0.834 0.331 1
Zr5 0.500 0.665 0.669 1
In1 0.000 0.500 0.000 1

---

# HgPd3Br (GGA-PBEsol, optimized geometry)
# Polymorph energy (0 for the lowest one) = 0 meV per atom
# Symmetry = Pm-3m (221)
# E_tot = -17.66 eV per cell
# DOS(E_F) = 0.8215 states/eV per atom
data_HgPd3Br
_space_group_name_H-M_alt 'P 1'
_space_group_IT_number 1
_cell_length_a 4.682
_cell_length_b 4.682
_cell_length_c 4.682
_cell_angle_alpha 90.00
_cell_angle_beta 90.00
_cell_angle_gamma 90.00
loop_
_space_group_symop_operation_xyz
'x,y,z'
loop_
_atom_site_label
_atom_site_fract_x
_atom_site_fract_y
_atom_site_fract_z
_atom_site_occupancy
Br1 0.000 0.000 0.000 1
Hg1 0.500 0.500 0.500 1
Pd1 0.000 0.500 0.000 1
Pd2 0.000 0.000 0.500 1
Pd3 0.500 0.000 0.000 1

---

# NbTeBr2 (GGA-PBEsol, optimized geometry)
# Polymorph energy (0 for the lowest one) = 0 meV per atom
# Symmetry = R-3m (166)
# E_tot = -19.63 eV per cell
# DOS(E_F) = 0.7009 states/eV per atom
data_NbTeBr2
_space_group_name_H-M_alt 'P 1'
_space_group_IT_number 1
_cell_length_a 3.254
_cell_length_b 3.254
_cell_length_c 11.571
_cell_angle_alpha 81.92
_cell_angle_beta 81.92
_cell_angle_gamma 60.00
loop_
_space_group_symop_operation_xyz
'x,y,z'
loop_
_atom_site_label
_atom_site_fract_x
_atom_site_fract_y
_atom_site_fract_z
_atom_site_occupancy
Nb1 0.500 0.500 0.500 1
Te1 0.000 0.000 0.000 1
Br1 0.888 0.888 0.336 1
Br2 0.112 0.112 0.664 1

---

# LiZn2Au (GGA-PBEsol, optimized geometry)
# Polymorph energy (0 for the lowest one) = 0 meV per atom
# Symmetry = Fm-3m (225)
# E_tot = -10.56 eV per cell
# DOS(E_F) = 0.2080 states/eV per atom
# ΔE_f = -0.38 eV/atom
data_LiZn2Au
_space_group_name_H-M_alt 'P 1'
_space_group_IT_number 1
_cell_length_a 4.326
_cell_length_b 4.326
_cell_length_c 4.326
_cell_angle_alpha 60.00
_cell_angle_beta 60.00
_cell_angle_gamma 60.00
loop_
_space_group_symop_operation_xyz
'x,y,z'
loop_
_atom_site_label
_atom_site_fract_x
_atom_site_fract_y
_atom_site_fract_z
_atom_site_occupancy
Zn1 0.250 0.250 0.250 1
Zn2 0.750 0.750 0.750 1
Au1 0.500 0.500 0.500 1
Li1 0.000 0.000 0.000 1

---

# Cs2GeBF (GGA-PBEsol, optimized geometry)
# Symmetry = P4/mmm (123)
# E_tot = -18.23 eV per cell
data_Cs2GeBF
_space_group_name_H-M_alt 'P 1'
_space_group_IT_number 1
_cell_length_a 3.708
_cell_length_b 6.455
_cell_length_c 6.455
_cell_angle_alpha 90.00
_cell_angle_beta 90.00
_cell_angle_gamma 90.00
loop_
_space_group_symop_operation_xyz
'x,y,z'
loop_
_atom_site_label
_atom_site_fract_x
_atom_site_fract_y
_atom_site_fract_z
_atom_site_occupancy
Cs1 0.000 0.000 0.500 1
Cs2 0.000 0.500 0.000 1
Ge1 0.500 0.000 0.000 1
B1 0.000 0.000 0.000 1
F1 0.500 0.500 0.500 1

---

# SrCo2As2O8 (GGA-PBEsol, optimized geometry)
# Symmetry = P-1 (2)
# E_tot = -175.22 eV per cell
# DOS(E_F) = 0.4198 states/eV per atom
data_SrCo2As2O8
_space_group_name_H-M_alt 'P 1'
_space_group_IT_number 1
_cell_length_a 5.594
_cell_length_b 7.038
_cell_length_c 9.351
_cell_angle_alpha 107.35
_cell_angle_beta 105.35
_cell_angle_gamma 98.84
loop_
_space_group_symop_operation_xyz
'x,y,z'
loop_
_atom_site_label
_atom_site_fract_x
_atom_site_fract_y
_atom_site_fract_z
_atom_site_occupancy
Sr1 0.199 0.240 0.450 1
Sr2 0.801 0.760 0.550 1
Co1 0.945 0.174 0.055 1
Co2 0.323 0.232 0.854 1
Co3 0.055 0.826 0.945 1
Co4 0.677 0.768 0.146 1
As1 0.439 0.777 0.795 1
As2 0.561 0.223 0.205 1
As3 0.842 0.328 0.748 1
As4 0.158 0.672 0.252 1
O1 0.048 0.322 0.923 1
O2 0.952 0.678 0.077 1
O3 0.406 0.679 0.939 1
O4 0.594 0.321 0.061 1
O5 0.750 0.931 0.853 1
O6 0.250 0.069 0.147 1
O7 0.223 0.932 0.798 1
O8 0.777 0.068 0.202 1
O9 0.905 0.572 0.745 1
O10 0.095 0.428 0.255 1
O11 0.519 0.242 0.713 1
O12 0.481 0.758 0.287 1
O13 0.371 0.621 0.606 1
O14 0.629 0.379 0.394 1
O15 0.937 0.160 0.614 1
O16 0.063 0.840 0.386 1

---

# LaMo2Ru2 (GGA-PBEsol, optimized geometry)
# Symmetry = I4/mmm (139)
# E_tot = -48.10 eV per cell
# DOS(E_F) = 0.9568 states/eV per atom
# ΔE_f = 0.23 eV/atom
data_LaMo2Ru2
_space_group_name_H-M_alt 'P 1'
_space_group_IT_number 1
_cell_length_a 4.334
_cell_length_b 4.334
_cell_length_c 5.946
_cell_angle_alpha 111.37
_cell_angle_beta 111.37
_cell_angle_gamma 90.00
loop_
_space_group_symop_operation_xyz
'x,y,z'
loop_
_atom_site_label
_atom_site_fract_x
_atom_site_fract_y
_atom_site_fract_z
_atom_site_occupancy
Ru1 0.250 0.750 0.500 1
Ru2 0.750 0.250 0.500 1
Mo1 0.373 0.373 0.746 1
Mo2 0.627 0.627 0.254 1
La1 0.000 0.000 0.000 1

---

# TbIn2Ni (GGA-PBEsol, optimized geometry)
# Symmetry = Cmcm (63)
# E_tot = -38.22 eV per cell
# DOS(E_F) = 0.6171 states/eV per atom
# ΔE_f = -0.49 eV/atom
data_TbIn2Ni
_space_group_name_H-M_alt 'P 1'
_space_group_IT_number 1
_cell_length_a 4.286
_cell_length_b 5.582
_cell_length_c 7.261
_cell_angle_alpha 90.00
_cell_angle_beta 90.00
_cell_angle_gamma 112.58
loop_
_space_group_symop_operation_xyz
'x,y,z'
loop_
_atom_site_label
_atom_site_fract_x
_atom_site_fract_y
_atom_site_fract_z
_atom_site_occupancy
Ni1 0.787 0.575 0.250 1
Ni2 0.213 0.425 0.750 1
Tb1 0.068 0.137 0.250 1
Tb2 0.932 0.863 0.750 1
In1 0.357 0.713 0.049 1
In2 0.643 0.287 0.951 1
In3 0.643 0.287 0.549 1
In4 0.357 0.713 0.451 1

---

# CdSb2MoP (GGA-PBEsol, optimized geometry)
# Symmetry = P4/mmm (123)
# E_tot = -23.92 eV per cell
# DOS(E_F) = 0.8743 states/eV per atom
data_CdSb2MoP
_space_group_name_H-M_alt 'P 1'
_space_group_IT_number 1
_cell_length_a 4.471
_cell_length_b 5.211
_cell_length_c 5.211
_cell_angle_alpha 90.00
_cell_angle_beta 90.00
_cell_angle_gamma 90.00
loop_
_space_group_symop_operation_xyz
'x,y,z'
loop_
_atom_site_label
_atom_site_fract_x
_atom_site_fract_y
_atom_site_fract_z
_atom_site_occupancy
Sb1 0.000 0.000 0.500 1
Sb2 0.000 0.500 0.000 1
Mo1 0.500 0.000 0.000 1
P1 0.000 0.000 0.000 1
Cd1 0.500 0.500 0.500 1

---

no.,total magnetic moment (μB/f.u.)
1,13.0
2,0.0
3,10.3
4,0.0
5,0.0
6,0.0
7,0.0
8,0.0
9,6.0
10,0.0
11,0.0
12,1.2